No. 1
A relaxed TbPm2Tm crystal, computed with GGA-PBE.

Structure (CIF):
```
data_TbPm2Tm
_chemical_formula_sum 'Tb2 Pm4 Tm2'
_symmetry_space_group_name_H-M 'C 1 m 1'
_symmetry_Int_Tables_number 8
_symmetry_space_group_name_Hall 'C -2y'
_cell_length_a 6.243
_cell_length_b 3.608
_cell_length_c 11.801
_cell_angle_alpha 90.00
_cell_angle_beta 100.11
_cell_angle_gamma 90.00
loop_
_atom_site_label
_atom_site_fract_x
_atom_site_fract_y
_atom_site_fract_z
Tb1 0.000 0.000 0.000
Pm1 0.083 0.500 0.749
Pm2 0.251 0.500 0.252
Tm1 0.168 0.000 0.502
```

Values from the calculation:
The value obtained for the total magnetization is 0.00 μB per formula unit. The calculation puts the polymorph energy (0 for the lowest one) at 4 meV per atom.

No. 2
A relaxed Tb3Pm3Tm5 crystal, computed with GGA-PBE.

Structure (CIF):
```
data_Tb3Pm3Tm5
_chemical_formula_sum 'Tb3 Pm3 Tm5'
_symmetry_space_group_name_H-M 'P -6 2 m'
_symmetry_Int_Tables_number 189
_symmetry_space_group_name_Hall 'P -6 -2'
_cell_length_a 9.5939
_cell_length_b 9.5939
_cell_length_c 5.4757
_cell_angle_alpha 90.00
_cell_angle_beta 90.00
_cell_angle_gamma 120.00
loop_
_atom_site_label
_atom_site_fract_x
_atom_site_fract_y
_atom_site_fract_z
Tb1 0.0000 0.4482 0.0000
Pm1 0.0000 0.6322 0.5000
Tm1 0.0000 0.2673 0.5000
Tm2 0.3333 0.6667 0.5000
```

Values from the calculation:
Its calculated total energy is -41.5 eV/f.u. The value obtained for the total magnetization is 0.00 μB per formula unit.